(1)
A plane-wave DFT calculation with PBE was carried out for a geometry-optimized Ac4NdS5 structure.

Calculated values
total magnetic moment: 0.0000 μB per atom
ΔE_f (raw): -46.17 kcal/mol of atoms
mass density: 7.36 g cm⁻³

abc: 7.3787 7.3787 7.3787
angles: 99.62 99.62 131.73
Fractional coordinates of all 10 atoms:
Ac: 0.0986 0.7003 0.7988
Ac: 0.2997 0.0986 0.3983
Ac: 0.7003 0.9014 0.6017
Ac: 0.9014 0.2997 0.2012
Nd: 0.5000 0.5000 0.0000
S: 0.0000 0.0000 0.0000
S: 0.2069 0.4015 0.6084
S: 0.4015 0.7931 0.1946
S: 0.5985 0.2069 0.8054
S: 0.7931 0.5985 0.3916

---

(2)
A plane-wave DFT calculation with PBE was carried out for a geometry-optimized AcNd3S4 structure.

Calculated values
energy relative to the lowest polymorph listed for this composition: 0.000 eV per atom
total magnetic moment: 0.0367 μB per atom
ΔE_f (raw): -46.12 kcal/mol of atoms
mass density: 6.54 g cm⁻³

abc: 4.1076 4.1076 27.3659
angles: 90.00 90.00 120.00
Fractional coordinates of all 16 atoms:
Ac: 0.3333 0.6667 0.2500
Ac: 0.6667 0.3333 0.7500
Nd: 0.0000 0.0000 0.0000
Nd: 0.0000 0.0000 0.5000
Nd: 0.3333 0.6667 0.6195
Nd: 0.3333 0.6667 0.8805
Nd: 0.6667 0.3333 0.1195
Nd: 0.6667 0.3333 0.3805
S: 0.0000 0.0000 0.1804
S: 0.0000 0.0000 0.3196
S: 0.0000 0.0000 0.6804
S: 0.0000 0.0000 0.8196
S: 0.3333 0.6667 0.0600
S: 0.3333 0.6667 0.4400
S: 0.6667 0.3333 0.5600
S: 0.6667 0.3333 0.9400

---

(3)
A plane-wave DFT calculation with PBE was carried out for a geometry-optimized AcNd3S4 structure.

Calculated values
energy relative to the lowest polymorph listed for this composition: 0.014 eV per atom
total magnetic moment: 0.0000 μB per atom
ΔE_f (raw): -45.79 kcal/mol of atoms
mass density: 6.53 g cm⁻³

abc: 5.8525 5.8525 5.8525
angles: 90.00 90.00 90.00
Fractional coordinates of all 8 atoms:
Ac: 0.0000 0.0000 0.0000
Nd: 0.0000 0.5000 0.5000
Nd: 0.5000 0.0000 0.5000
Nd: 0.5000 0.5000 0.0000
S: 0.0000 0.0000 0.5000
S: 0.0000 0.5000 0.0000
S: 0.5000 0.0000 0.0000
S: 0.5000 0.5000 0.5000

---

(4)
A plane-wave DFT calculation with PBE was carried out for a geometry-optimized AcNdS structure.

Calculated values
total magnetic moment: 0.0024 μB per atom
ΔE_f (raw): -27.48 kcal/mol of atoms
mass density: 6.70 g cm⁻³

abc: 4.0921 4.0921 6.8903
angles: 90.00 90.00 120.00
Fractional coordinates of all 3 atoms:
Ac: 0.0000 0.0000 0.0000
Nd: 0.6667 0.3333 0.4904
S: 0.3333 0.6667 0.7255

---

(5)
A plane-wave DFT calculation with PBE was carried out for a geometry-optimized AcNd4S6 structure.

Calculated values
total magnetic moment: 0.0000 μB per atom
ΔE_f (raw): -47.73 kcal/mol of atoms
mass density: 5.89 g cm⁻³

abc: 7.0089 7.0089 20.5878
angles: 90.00 90.00 146.25
Fractional coordinates of all 22 atoms:
Ac: 0.1580 0.8420 0.7500
Ac: 0.8420 0.1580 0.2500
Nd: 0.0933 0.9067 0.1260
Nd: 0.0933 0.9067 0.3740
Nd: 0.3607 0.6393 0.0399
Nd: 0.3607 0.6393 0.4601
Nd: 0.6393 0.3607 0.5399
Nd: 0.6393 0.3607 0.9601
Nd: 0.9067 0.0933 0.6260
Nd: 0.9067 0.0933 0.8740
S: 0.0000 0.0000 0.0000
S: 0.0000 0.0000 0.5000
S: 0.1831 0.8169 0.2500
S: 0.2671 0.7329 0.5909
S: 0.2671 0.7329 0.9091
S: 0.4532 0.5468 0.1654
S: 0.4532 0.5468 0.3346
S: 0.5468 0.4532 0.6654
S: 0.5468 0.4532 0.8346
S: 0.7329 0.2671 0.0909
S: 0.7329 0.2671 0.4091
S: 0.8169 0.1831 0.7500

---

(6)
A plane-wave DFT calculation with PBE was carried out for a geometry-optimized Ac3NdS6 structure.

Calculated values
energy relative to the lowest polymorph listed for this composition: 0.044 eV per atom
total magnetic moment: 0.0000 μB per atom
ΔE_f (raw): -48.20 kcal/mol of atoms
mass density: 5.66 g cm⁻³

abc: 7.2113 7.7362 12.8137
angles: 90.00 123.30 90.00
Fractional coordinates of all 20 atoms:
Ac: 0.0000 0.0000 0.0000
Ac: 0.0000 0.5000 0.5000
Ac: 0.2860 0.0802 0.7510
Ac: 0.2860 0.4198 0.2510
Ac: 0.7140 0.5802 0.7490
Ac: 0.7140 0.9198 0.2490
Nd: 0.5000 0.0000 0.5000
Nd: 0.5000 0.5000 0.0000
S: 0.1048 0.0697 0.2573
S: 0.1048 0.4303 0.7573
S: 0.2757 0.6889 0.0815
S: 0.2757 0.8111 0.5815
S: 0.4013 0.1964 0.0820
S: 0.4013 0.3036 0.5820
S: 0.5987 0.6964 0.4180
S: 0.5987 0.8036 0.9180
S: 0.7243 0.1889 0.4185
S: 0.7243 0.3111 0.9185
S: 0.8952 0.5697 0.2427
S: 0.8952 0.9303 0.7427

---

(7)
A plane-wave DFT calculation with PBE was carried out for a geometry-optimized AcNd5S6 structure.

Calculated values
total magnetic moment: 0.0000 μB per atom
ΔE_f (raw): -46.50 kcal/mol of atoms
mass density: 6.43 g cm⁻³

abc: 7.1309 7.1309 7.1163
angles: 99.69 99.69 120.14
Fractional coordinates of all 12 atoms:
Ac: 0.0000 0.0000 0.0000
Nd: 0.1651 0.8349 0.5000
Nd: 0.3323 0.6677 0.0000
Nd: 0.5000 0.5000 0.5000
Nd: 0.6677 0.3323 0.0000
Nd: 0.8349 0.1651 0.5000
S: 0.0857 0.4259 0.2559
S: 0.2566 0.2566 0.7472
S: 0.4259 0.0857 0.2559
S: 0.5741 0.9143 0.7441
S: 0.7434 0.7434 0.2528
S: 0.9143 0.5741 0.7441

---

(8)
A plane-wave DFT calculation with PBE was carried out for a geometry-optimized AcNdS2 structure.

Calculated values
energy relative to the lowest polymorph listed for this composition: 0.149 eV per atom
total magnetic moment: 0.0000 μB per atom
ΔE_f (raw): -42.46 kcal/mol of atoms
mass density: 6.79 g cm⁻³

abc: 3.9985 3.9985 7.6934
angles: 90.00 90.00 120.00
Fractional coordinates of all 4 atoms:
Ac: 0.0000 0.0000 0.0000
Nd: 0.0000 0.0000 0.5000
S: 0.3333 0.6667 0.7306
S: 0.6667 0.3333 0.2694

---

(9)
A plane-wave DFT calculation with PBE was carried out for a geometry-optimized Ac3NdS6 structure.

Calculated values
energy relative to the lowest polymorph listed for this composition: 0.000 eV per atom
total magnetic moment: 0.0000 μB per atom
ΔE_f (raw): -49.21 kcal/mol of atoms
mass density: 5.22 g cm⁻³

abc: 8.6531 8.6531 8.6531
angles: 91.85 91.85 91.85
Fractional coordinates of all 20 atoms:
Ac: 0.0662 0.7510 0.5740
Ac: 0.2490 0.4260 0.9338
Ac: 0.4260 0.9338 0.2490
Ac: 0.5740 0.0662 0.7510
Ac: 0.7510 0.5740 0.0662
Ac: 0.9338 0.2490 0.4260
Nd: 0.0000 0.0000 0.0000
Nd: 0.5000 0.5000 0.5000
S: 0.0373 0.6885 0.9087
S: 0.0913 0.9627 0.3115
S: 0.1908 0.4282 0.5878
S: 0.3115 0.0913 0.9627
S: 0.4122 0.8092 0.5718
S: 0.4282 0.5878 0.1908
S: 0.5718 0.4122 0.8092
S: 0.5878 0.1908 0.4282
S: 0.6885 0.9087 0.0373
S: 0.8092 0.5718 0.4122
S: 0.9087 0.0373 0.6885
S: 0.9627 0.3115 0.0913

---

(10)
A plane-wave DFT calculation with PBE was carried out for a geometry-optimized AcNdS2 structure.

Calculated values
energy relative to the lowest polymorph listed for this composition: 0.000 eV per atom
total magnetic moment: 0.0000 μB per atom
ΔE_f (raw): -45.90 kcal/mol of atoms
mass density: 6.92 g cm⁻³

abc: 4.1571 4.1571 13.9625
angles: 90.00 90.00 120.00
Fractional coordinates of all 8 atoms:
Ac: 0.3333 0.6667 0.2500
Ac: 0.6667 0.3333 0.7500
Nd: 0.0000 0.0000 0.0000
Nd: 0.0000 0.0000 0.5000
S: 0.3333 0.6667 0.6164
S: 0.3333 0.6667 0.8836
S: 0.6667 0.3333 0.1164
S: 0.6667 0.3333 0.3836

---

(11)
A plane-wave DFT calculation with PBE was carried out for a geometry-optimized Ac2NdS4 structure.

Calculated values
total magnetic moment: 0.0000 μB per atom
ΔE_f (raw): -46.72 kcal/mol of atoms
mass density: 6.00 g cm⁻³

abc: 7.4231 7.4231 13.8861
angles: 90.00 90.00 148.27
Fractional coordinates of all 14 atoms:
Ac: 0.1303 0.8697 0.5749
Ac: 0.1303 0.8697 0.9251
Ac: 0.8697 0.1303 0.0749
Ac: 0.8697 0.1303 0.4251
Nd: 0.3725 0.6275 0.7500
Nd: 0.6275 0.3725 0.2500
S: 0.0149 0.9851 0.7500
S: 0.2194 0.7806 0.1257
S: 0.2194 0.7806 0.3743
S: 0.5000 0.5000 0.0000
S: 0.5000 0.5000 0.5000
S: 0.7806 0.2194 0.6257
S: 0.7806 0.2194 0.8743
S: 0.9851 0.0149 0.2500

---

(12)
A plane-wave DFT calculation with PBE was carried out for a geometry-optimized AcNdS2 structure.

Calculated values
energy relative to the lowest polymorph listed for this composition: 0.376 eV per atom
total magnetic moment: 0.0001 μB per atom
ΔE_f (raw): -37.23 kcal/mol of atoms
mass density: 5.33 g cm⁻³

abc: 9.1077 9.1077 9.1077
angles: 26.81 26.81 26.81
Fractional coordinates of all 4 atoms:
Ac: 0.0000 0.0000 0.0000
Nd: 0.5000 0.5000 0.5000
S: 0.1103 0.1103 0.1103
S: 0.8897 0.8897 0.8897

---

(13)
A plane-wave DFT calculation with PBE was carried out for a geometry-optimized AcNd6S8 structure.

Calculated values
total magnetic moment: 0.0000 μB per atom
ΔE_f (raw): -46.37 kcal/mol of atoms
mass density: 5.80 g cm⁻³

abc: 8.1722 8.1722 8.1722
angles: 60.00 60.00 60.00
Fractional coordinates of all 15 atoms:
Ac: 0.0000 0.0000 0.0000
Nd: 0.0000 0.0000 0.5000
Nd: 0.0000 0.5000 0.0000
Nd: 0.0000 0.5000 0.5000
Nd: 0.5000 0.0000 0.0000
Nd: 0.5000 0.0000 0.5000
Nd: 0.5000 0.5000 0.0000
S: 0.2500 0.2500 0.2500
S: 0.2572 0.2572 0.7428
S: 0.2572 0.7428 0.2572
S: 0.2572 0.7428 0.7428
S: 0.7428 0.2572 0.2572
S: 0.7428 0.2572 0.7428
S: 0.7428 0.7428 0.2572
S: 0.7500 0.7500 0.7500

---

(14)
A plane-wave DFT calculation with PBE was carried out for a geometry-optimized Ac6NdS8 structure.

Calculated values
total magnetic moment: 0.0000 μB per atom
ΔE_f (raw): -47.02 kcal/mol of atoms
mass density: 6.59 g cm⁻³

abc: 8.5656 8.5656 8.5656
angles: 60.00 60.00 60.00
Fractional coordinates of all 15 atoms:
Ac: 0.0000 0.0000 0.5000
Ac: 0.0000 0.5000 0.0000
Ac: 0.0000 0.5000 0.5000
Ac: 0.5000 0.0000 0.0000
Ac: 0.5000 0.0000 0.5000
Ac: 0.5000 0.5000 0.0000
Nd: 0.0000 0.0000 0.0000
S: 0.2399 0.2399 0.7601
S: 0.2399 0.7601 0.2399
S: 0.2399 0.7601 0.7601
S: 0.2500 0.2500 0.2500
S: 0.7500 0.7500 0.7500
S: 0.7601 0.2399 0.2399
S: 0.7601 0.2399 0.7601
S: 0.7601 0.7601 0.2399

---

(15)
A plane-wave DFT calculation with PBE was carried out for a geometry-optimized AcNd2S3 structure.

Calculated values
total magnetic moment: 0.0000 μB per atom
ΔE_f (raw): -46.15 kcal/mol of atoms
mass density: 6.69 g cm⁻³

abc: 7.1893 7.1893 7.1893
angles: 146.48 131.66 60.11
Fractional coordinates of all 6 atoms:
Ac: 0.0000 0.0000 0.0000
Nd: 0.3342 0.3342 0.0000
Nd: 0.6658 0.6658 0.0000
S: 0.1739 0.6739 0.5000
S: 0.5000 0.0000 0.5000
S: 0.8261 0.3261 0.5000

---

(16)
A plane-wave DFT calculation with PBE was carried out for a geometry-optimized AcNdSbS structure.

Calculated values
total magnetic moment: 0.0189 μB per atom
ΔE_f (raw): -30.47 kcal/mol of atoms
mass density: 6.46 g cm⁻³

abc: 5.0988 5.0988 10.3816
angles: 90.00 90.00 90.00
Fractional coordinates of all 8 atoms:
Ac: 0.2500 0.2500 0.1398
Ac: 0.7500 0.7500 0.8602
Nd: 0.2500 0.7500 0.5000
Nd: 0.7500 0.2500 0.5000
Sb: 0.2500 0.2500 0.6832
Sb: 0.7500 0.7500 0.3168
S: 0.2500 0.7500 0.0000
S: 0.7500 0.2500 0.0000

---

(17)
A plane-wave DFT calculation with PBE was carried out for a geometry-optimized Ac3Nd3ScS8 structure.

Calculated values
total magnetic moment: 0.0000 μB per atom
ΔE_f (raw): -46.40 kcal/mol of atoms
mass density: 5.84 g cm⁻³

abc: 8.3666 8.3666 8.3666
angles: 58.76 58.76 58.76
Fractional coordinates of all 15 atoms:
Ac: 0.0000 0.5000 0.5000
Ac: 0.5000 0.0000 0.5000
Ac: 0.5000 0.5000 0.0000
Nd: 0.0000 0.0000 0.5000
Nd: 0.0000 0.5000 0.0000
Nd: 0.5000 0.0000 0.0000
Sc: 0.5000 0.5000 0.5000
S: 0.2450 0.2450 0.2450
S: 0.2608 0.7303 0.7303
S: 0.2697 0.2697 0.7392
S: 0.2697 0.7392 0.2697
S: 0.7303 0.2608 0.7303
S: 0.7303 0.7303 0.2608
S: 0.7392 0.2697 0.2697
S: 0.7550 0.7550 0.7550

---

(18)
A plane-wave DFT calculation with PBE was carried out for a geometry-optimized AcNdSeS2 structure.

Calculated values
total magnetic moment: 0.0000 μB per atom
ΔE_f (raw): -43.71 kcal/mol of atoms
mass density: 5.09 g cm⁻³

abc: 4.8955 4.8955 7.0063
angles: 90.00 90.00 90.00
Fractional coordinates of all 5 atoms:
Ac: 0.0000 0.0000 0.0000
Nd: 0.5000 0.5000 0.4085
Se: 0.5000 0.5000 0.8150
S: 0.0000 0.5000 0.2365
S: 0.5000 0.0000 0.2365

---

(19)
A plane-wave DFT calculation with PBE was carried out for a geometry-optimized Ac2Nd2Se2S3 structure.

Calculated values
total magnetic moment: 0.0002 μB per atom
ΔE_f (raw): -40.22 kcal/mol of atoms
mass density: 6.59 g cm⁻³

abc: 8.8517 8.8517 8.8517
angles: 142.86 142.86 53.54
Fractional coordinates of all 9 atoms:
Ac: 0.1982 0.1982 0.0000
Ac: 0.8018 0.8018 0.0000
Nd: 0.0000 0.5000 0.5000
Nd: 0.5000 0.0000 0.5000
Se: 0.3989 0.3989 0.0000
Se: 0.6011 0.6011 0.0000
S: 0.0000 0.0000 0.0000
S: 0.2500 0.7500 0.5000
S: 0.7500 0.2500 0.5000

---

(20)
A plane-wave DFT calculation with PBE was carried out for a geometry-optimized Ac2Nd2Se3S2 structure.

Calculated values
total magnetic moment: 0.0405 μB per atom
ΔE_f (raw): -36.80 kcal/mol of atoms
mass density: 6.54 g cm⁻³

abc: 8.6329 8.6329 8.6329
angles: 139.85 139.85 58.07
Fractional coordinates of all 9 atoms:
Ac: 0.2126 0.2126 0.0000
Ac: 0.7874 0.7874 0.0000
Nd: 0.0000 0.5000 0.5000
Nd: 0.5000 0.0000 0.5000
Se: 0.0000 0.0000 0.0000
Se: 0.2500 0.7500 0.5000
Se: 0.7500 0.2500 0.5000
S: 0.4035 0.4035 0.0000
S: 0.5965 0.5965 0.0000

---

(21)
A plane-wave DFT calculation with PBE was carried out for a geometry-optimized Ac4Nd3SmS8 structure.

Calculated values
total magnetic moment: 0.0000 μB per atom
ΔE_f (raw): -46.28 kcal/mol of atoms
mass density: 7.02 g cm⁻³

abc: 8.3761 8.3761 8.3761
angles: 59.75 59.75 59.75
Fractional coordinates of all 16 atoms:
Ac: 0.0000 0.0000 0.0000
Ac: 0.0000 0.5000 0.5000
Ac: 0.5000 0.0000 0.5000
Ac: 0.5000 0.5000 0.0000
Nd: 0.0000 0.0000 0.5000
Nd: 0.0000 0.5000 0.0000
Nd: 0.5000 0.0000 0.0000
Sm: 0.5000 0.5000 0.5000
S: 0.2449 0.2449 0.2449
S: 0.2470 0.7429 0.7429
S: 0.2571 0.2571 0.7530
S: 0.2571 0.7530 0.2571
S: 0.7429 0.2470 0.7429
S: 0.7429 0.7429 0.2470
S: 0.7530 0.2571 0.2571
S: 0.7551 0.7551 0.7551